Hg2H5Pt3: optimized geometry, GGA-PBE.

Output
* DFT total energy: -3.52 eV per atom
* crystal system: triclinic

```
Hg2H5Pt3
1.0
5.3439 0.0000 0.0000
2.2760 6.6170 0.0000
0.2766 3.5442 7.1445
Hg H Pt
4 10 6
Cartesian
1.5859 2.6804 3.2167
2.1077 4.7692 5.9548
5.7888 5.3920 1.1897
6.3106 7.4808 3.9278
2.4741 8.0053 6.1551
3.1767 6.3521 1.6103
3.3717 3.9942 0.9769
4.0213 6.2308 3.6304
4.5019 8.3755 6.0120
3.3946 1.7857 1.1326
3.8752 3.9304 3.5141
4.5248 6.1670 6.1676
4.7198 3.8091 5.5342
5.4224 2.1559 0.9894
2.5957 5.3645 3.0210
3.1767 5.4709 0.1499
3.6053 7.2163 5.0709
4.2912 2.9449 2.0736
4.7198 4.6903 6.9946
5.3008 4.7967 4.1235
```

BaCu2As: optimized geometry, GGA-PBE.

Output
* ΔE_f: 254 meV per atom
* DFT total energy: -3.44 eV per atom
* crystal system: monoclinic

```
BaCu2As
1.0
6.2491 0.0000 0.0000
0.0000 8.4146 0.0000
-3.1166 0.0000 3.6572
Ba Cu As
2 4 2
Cartesian
0.0000 0.0000 0.0000
3.1245 4.2073 0.0000
0.0040 2.1037 1.8286
0.0040 6.3110 1.8286
3.1285 2.1037 1.8286
3.1285 6.3110 1.8286
0.0000 4.2073 0.0000
3.1245 0.0000 0.0000
```

La12TbY2: optimized geometry, GGA-PBE.

Output
* ΔE_f: 325 meV per atom
* DFT total energy: -4.79 eV per atom
* crystal system: tetragonal

```
La12TbY2
1.0
6.7539 0.0000 0.0000
0.0000 6.7539 0.0000
0.0000 0.0000 24.6773
La Tb Y
24 2 4
Cartesian
0.0521 3.4290 2.6105
0.0521 6.7019 22.0668
0.5673 3.9443 13.9145
0.5673 6.1866 10.7628
1.6885 1.6885 5.0237
1.6885 1.6885 8.1597
1.6885 1.6885 16.5176
1.6885 1.6885 19.6536
2.8096 3.9443 10.7628
2.8096 6.1866 13.9145
3.3249 3.4290 22.0668
3.3249 6.7019 2.6105
3.4290 0.0521 22.0668
3.4290 3.3249 2.6105
3.9443 0.5673 10.7628
3.9443 2.8096 13.9145
5.0655 5.0655 5.0237
5.0655 5.0655 8.1597
5.0655 5.0655 16.5176
5.0655 5.0655 19.6536
6.1866 0.5673 13.9145
6.1866 2.8096 10.7628
6.7019 0.0521 2.6105
6.7019 3.3249 22.0668
1.6885 5.0655 0.0000
5.0655 1.6885 0.0000
1.6885 5.0655 6.1190
1.6885 5.0655 18.5583
5.0655 1.6885 6.1190
5.0655 1.6885 18.5583
```

Mg5In: optimized geometry, GGA-PBE.

Output
* ΔE_f: -39 meV per atom
* DFT total energy: -1.82 eV per atom
* crystal system: hexagonal

```
Mg5In
1.0
5.5416 0.0000 0.0000
-2.7708 4.7992 0.0000
0.0000 0.0000 5.1957
Mg In
5 1
Cartesian
-1.8494 3.2033 0.0000
0.9214 1.5959 0.0000
0.0000 3.1995 2.5978
3.6988 0.0000 0.0000
2.7708 1.5997 2.5978
0.0000 0.0000 2.5978
```

What did the third record say?
La12TbY2: optimized geometry, GGA-PBE.

Output
* ΔE_f: 325 meV per atom
* DFT total energy: -4.79 eV per atom
* crystal system: tetragonal

```
La12TbY2
1.0
6.7539 0.0000 0.0000
0.0000 6.7539 0.0000
0.0000 0.0000 24.6773
La Tb Y
24 2 4
Cartesian
0.0521 3.4290 2.6105
0.0521 6.7019 22.0668
0.5673 3.9443 13.9145
0.5673 6.1866 10.7628
1.6885 1.6885 5.0237
1.6885 1.6885 8.1597
1.6885 1.6885 16.5176
1.6885 1.6885 19.6536
2.8096 3.9443 10.7628
2.8096 6.1866 13.9145
3.3249 3.4290 22.0668
3.3249 6.7019 2.6105
3.4290 0.0521 22.0668
3.4290 3.3249 2.6105
3.9443 0.5673 10.7628
3.9443 2.8096 13.9145
5.0655 5.0655 5.0237
5.0655 5.0655 8.1597
5.0655 5.0655 16.5176
5.0655 5.0655 19.6536
6.1866 0.5673 13.9145
6.1866 2.8096 10.7628
6.7019 0.0521 2.6105
6.7019 3.3249 22.0668
1.6885 5.0655 0.0000
5.0655 1.6885 0.0000
1.6885 5.0655 6.1190
1.6885 5.0655 18.5583
5.0655 1.6885 6.1190
5.0655 1.6885 18.5583
```

- What is the formula in the third record?
  La12TbY2

- The highest DFT total energy belongs to which entry?
  Mg5In

- Which value of DFT total energy does entry 1 give?
  -3.52 eV per atom